# Sr2AsO

A crystal of Sr2AsO relaxed with PBEsol (SCAN, Alexandria via LeMat-Bulk).

Properties
ΔE_f (raw) ... -124 kJ/mol of atoms

Cell and atoms, written as CIF:
```
data_Sr2AsO
_cell_length_a 7.1164
_cell_length_b 7.1164
_cell_length_c 7.1164
_cell_angle_alpha 90.00
_cell_angle_beta 90.00
_cell_angle_gamma 90.00
_symmetry_space_group_name_H-M 'F m -3 m'
_symmetry_Int_Tables_number 225
_symmetry_space_group_name_Hall '-F 4 2 3'
loop_
_atom_site_label
_atom_site_type_symbol
_atom_site_fract_x
_atom_site_fract_y
_atom_site_fract_z
Sr1 Sr 0.2500 0.2500 0.2500
As1 As 0.0000 0.0000 0.0000
O1 O 0.0000 0.0000 0.5000
```

=====

# Sr3TaAs3O

A crystal of Sr3TaAs3O relaxed with PBEsol (SCAN, Alexandria via LeMat-Bulk).

Properties
ΔE_f (raw) ... -158 kJ/mol of atoms

Cell and atoms, written as CIF:
```
data_Sr3TaAs3O
_cell_length_a 6.3556
_cell_length_b 10.6465
_cell_length_c 12.8668
_cell_angle_alpha 90.00
_cell_angle_beta 90.00
_cell_angle_gamma 90.00
_symmetry_space_group_name_H-M 'P n m a'
_symmetry_Int_Tables_number 62
_symmetry_space_group_name_Hall '-P 2ac 2n'
loop_
_atom_site_label
_atom_site_type_symbol
_atom_site_fract_x
_atom_site_fract_y
_atom_site_fract_z
Sr1 Sr 0.2293 0.2500 0.1276
Sr2 Sr 0.2459 0.5430 0.3716
Ta1 Ta 0.1586 0.2500 0.5486
As1 As 0.2337 0.2500 0.3626
As2 As 0.2370 0.5468 0.1232
O1 O 0.1365 0.7500 0.4447
```

=====

# TaAsO4

A crystal of TaAsO4 relaxed with PBEsol (SCAN, Alexandria via LeMat-Bulk).

Properties
ΔE_f (raw) ... -219 kJ/mol of atoms

Cell and atoms, written as CIF:
```
data_TaAsO4
_cell_length_a 5.4456
_cell_length_b 11.6742
_cell_length_c 4.9916
_cell_angle_alpha 90.00
_cell_angle_beta 90.00
_cell_angle_gamma 90.00
_symmetry_space_group_name_H-M 'P n n a'
_symmetry_Int_Tables_number 52
_symmetry_space_group_name_Hall '-P 2a 2bc'
loop_
_atom_site_label
_atom_site_type_symbol
_atom_site_fract_x
_atom_site_fract_y
_atom_site_fract_z
Ta1 Ta 0.1178 0.2500 0.2500
As1 As 0.2500 0.0000 0.6567
O1 O 0.0818 0.0905 0.4159
O2 O 0.1541 0.6978 0.5100
```

=====

# TaAsO4

A crystal of TaAsO4 relaxed with PBEsol (SCAN, Alexandria via LeMat-Bulk).

Properties
ΔE_f (raw) ... -218 kJ/mol of atoms

Cell and atoms, written as CIF:
```
data_TaAsO4
_cell_length_a 5.0598
_cell_length_b 5.4927
_cell_length_c 5.5680
_cell_angle_alpha 90.00
_cell_angle_beta 99.99
_cell_angle_gamma 90.00
_symmetry_space_group_name_H-M 'P 1 c 1'
_symmetry_Int_Tables_number 7
_symmetry_space_group_name_Hall 'P -2yc'
loop_
_atom_site_label
_atom_site_type_symbol
_atom_site_fract_x
_atom_site_fract_y
_atom_site_fract_z
Ta1 Ta 0.0000 0.1636 0.0000
As1 As 0.4560 0.3132 0.5778
O1 O 0.2385 0.1069 0.7220
O2 O 0.2464 0.4217 0.1127
O3 O 0.7114 0.3687 0.8499
O4 O 0.8409 0.1031 0.2823
```

=====

Which value of ΔE_f (raw) does entry 1 give?
-124 kJ/mol of atoms

=====

Which of these has the highest ΔE_f (raw)?
Sr2AsO